# 1
First-principles (PBE-GGA) data for a geometry-optimized TaPPt2 structure, as listed in Alexandria via LeMat-Bulk.

Geometry as CIF:
```
data_TaPPt2
_space_group_name_H-M_alt 'R 3 m'
_space_group_IT_number 160
_space_group_name_Hall 'R 3 -2"'
_cell_length_a 2.9178
_cell_length_b 2.9178
_cell_length_c 25.4791
_cell_angle_alpha 90.00
_cell_angle_beta 90.00
_cell_angle_gamma 120.00
loop_
_atom_site_label
_atom_site_fract_x
_atom_site_fract_y
_atom_site_fract_z
Ta1 0.0000 0.0000 0.0000
P1 0.0000 0.0000 0.7471
Pt1 0.0000 0.0000 0.2464
Pt2 0.0000 0.0000 0.4859
```

Summary:
VASP energy   -30.2 eV per formula unit
Crystal system   trigonal
V   15.65 Å³/atom

---

# 2
First-principles (PBE-GGA) data for a geometry-optimized TaPPt structure, as listed in Alexandria via LeMat-Bulk.

Geometry as CIF:
```
data_TaPPt
_space_group_name_H-M_alt 'F -4 3 m'
_space_group_IT_number 216
_space_group_name_Hall 'F -4 2 3'
_cell_length_a 5.8533
_cell_length_b 5.8533
_cell_length_c 5.8533
_cell_angle_alpha 90.00
_cell_angle_beta 90.00
_cell_angle_gamma 90.00
loop_
_atom_site_label
_atom_site_fract_x
_atom_site_fract_y
_atom_site_fract_z
Ta1 0.0000 0.0000 0.0000
P1 0.2500 0.2500 0.2500
Pt1 0.0000 0.0000 0.5000
```

Summary:
VASP energy   -24.2 eV per formula unit
Crystal system   cubic
V   16.71 Å³/atom

---

# 3
First-principles (PBE-GGA) data for a geometry-optimized Ta2PPt structure, as listed in Alexandria via LeMat-Bulk.

Geometry as CIF:
```
data_Ta2PPt
_space_group_name_H-M_alt 'A m m 2'
_space_group_IT_number 38
_space_group_name_Hall 'A 2 -2'
_cell_length_a 3.5790
_cell_length_b 3.4541
_cell_length_c 10.5795
_cell_angle_alpha 90.00
_cell_angle_beta 90.00
_cell_angle_gamma 90.00
loop_
_atom_site_label
_atom_site_fract_x
_atom_site_fract_y
_atom_site_fract_z
Ta1 0.0000 0.0000 0.0000
Ta2 0.5000 0.0000 0.3413
P1 0.5000 0.0000 0.5824
Pt1 0.0000 0.0000 0.7320
```

Summary:
VASP energy   -37.5 eV per formula unit
Crystal system   orthorhombic
V   16.35 Å³/atom

---

# 4
First-principles (PBE-GGA) data for a geometry-optimized TaPPt2 structure, as listed in Alexandria via LeMat-Bulk.

Geometry as CIF:
```
data_TaPPt2
_space_group_name_H-M_alt 'P 4/m m m'
_space_group_IT_number 123
_space_group_name_Hall '-P 4 2'
_cell_length_a 4.8370
_cell_length_b 4.8370
_cell_length_c 2.8054
_cell_angle_alpha 90.00
_cell_angle_beta 90.00
_cell_angle_gamma 90.00
loop_
_atom_site_label
_atom_site_fract_x
_atom_site_fract_y
_atom_site_fract_z
Ta1 0.0000 0.0000 0.0000
P1 0.5000 0.5000 0.0000
Pt1 0.0000 0.5000 0.5000
```

Summary:
VASP energy   -29.6 eV per formula unit
Crystal system   tetragonal
V   16.41 Å³/atom

---

# 5
First-principles (PBE-GGA) data for a geometry-optimized Ta2PPt structure, as listed in Alexandria via LeMat-Bulk.

Geometry as CIF:
```
data_Ta2PPt
_space_group_name_H-M_alt 'R 3 m'
_space_group_IT_number 160
_space_group_name_Hall 'R 3 -2"'
_cell_length_a 2.9519
_cell_length_b 2.9519
_cell_length_c 26.6655
_cell_angle_alpha 90.00
_cell_angle_beta 90.00
_cell_angle_gamma 120.00
loop_
_atom_site_label
_atom_site_fract_x
_atom_site_fract_y
_atom_site_fract_z
Ta1 0.0000 0.0000 0.0000
Ta2 0.0000 0.0000 0.2403
P1 0.0000 0.0000 0.7416
Pt1 0.0000 0.0000 0.4925
```

Summary:
VASP energy   -35.5 eV per formula unit
Crystal system   trigonal
V   16.77 Å³/atom

---

# 6
First-principles (PBE-GGA) data for a geometry-optimized Ta2PPt structure, as listed in Alexandria via LeMat-Bulk.

Geometry as CIF:
```
data_Ta2PPt
_space_group_name_H-M_alt 'I m m m'
_space_group_IT_number 71
_space_group_name_Hall '-I 2 2'
_cell_length_a 3.5629
_cell_length_b 4.7671
_cell_length_c 7.6776
_cell_angle_alpha 90.00
_cell_angle_beta 90.00
_cell_angle_gamma 90.00
loop_
_atom_site_label
_atom_site_fract_x
_atom_site_fract_y
_atom_site_fract_z
Ta1 0.0000 0.0000 0.2235
P1 0.0000 0.5000 0.5000
Pt1 0.0000 0.5000 0.0000
```

Summary:
VASP energy   -37.0 eV per formula unit
Crystal system   orthorhombic
V   16.30 Å³/atom

---

# 7
First-principles (PBE-GGA) data for a geometry-optimized TaPPt structure, as listed in Alexandria via LeMat-Bulk.

Geometry as CIF:
```
data_TaPPt
_space_group_name_H-M_alt 'F -4 3 m'
_space_group_IT_number 216
_space_group_name_Hall 'F -4 2 3'
_cell_length_a 6.0723
_cell_length_b 6.0723
_cell_length_c 6.0723
_cell_angle_alpha 90.00
_cell_angle_beta 90.00
_cell_angle_gamma 90.00
loop_
_atom_site_label
_atom_site_fract_x
_atom_site_fract_y
_atom_site_fract_z
Ta1 0.0000 0.0000 0.0000
P1 0.2500 0.2500 0.2500
Pt1 0.2500 0.2500 0.7500
```

Summary:
VASP energy   -24.0 eV per formula unit
Crystal system   cubic
V   18.66 Å³/atom

---

# 8
First-principles (PBE-GGA) data for a geometry-optimized Ta2PPt structure, as listed in Alexandria via LeMat-Bulk.

Geometry as CIF:
```
data_Ta2PPt
_space_group_name_H-M_alt 'P 1 2/m 1'
_space_group_IT_number 10
_space_group_name_Hall '-P 2y'
_cell_length_a 2.8511
_cell_length_b 3.4809
_cell_length_c 6.6213
_cell_angle_alpha 90.00
_cell_angle_beta 99.62
_cell_angle_gamma 90.00
loop_
_atom_site_label
_atom_site_fract_x
_atom_site_fract_y
_atom_site_fract_z
Ta1 0.1031 0.0000 0.2719
P1 0.5000 0.5000 0.5000
Pt1 0.5000 0.5000 0.0000
```

Summary:
VASP energy   -37.1 eV per formula unit
Crystal system   monoclinic
V   16.20 Å³/atom

---

For each record above, in turn, the calculated ρ values are 15.97; 13.48; 14.93; 15.23; 14.56; 14.97; 12.07; 15.07 g/cm3.